*A*
VASP calculation (PBE) on CaMnRu3 after structural relaxation.

Values from the calculation:
theoretical density	7298	kg/m3
total magnetization	0.0	μB per formula unit

CIF file:
```
data_CaMnRu3
_space_group_name_H-M_alt 'P m -3 m'
_space_group_IT_number 221
_space_group_name_Hall '-P 4 2 3'
_cell_length_a 4.4914
_cell_length_b 4.4914
_cell_length_c 4.4914
_cell_angle_alpha 90.00
_cell_angle_beta 90.00
_cell_angle_gamma 90.00
loop_
_atom_site_label
_atom_site_type_symbol
_atom_site_fract_x
_atom_site_fract_y
_atom_site_fract_z
Ca1 Ca 0.0000 0.0000 0.0000
Mn1 Mn 0.5000 0.5000 0.5000
Ru1 Ru 0.0000 0.5000 0.5000
```


*B*
VASP calculation (PBE) on CaMnRu3 after structural relaxation.

Values from the calculation:
theoretical density	6965	kg/m3
total magnetization	1.6	μB per formula unit

CIF file:
```
data_CaMnRu3
_space_group_name_H-M_alt 'P m -3 m'
_space_group_IT_number 221
_space_group_name_Hall '-P 4 2 3'
_cell_length_a 4.5619
_cell_length_b 4.5619
_cell_length_c 4.5619
_cell_angle_alpha 90.00
_cell_angle_beta 90.00
_cell_angle_gamma 90.00
loop_
_atom_site_label
_atom_site_type_symbol
_atom_site_fract_x
_atom_site_fract_y
_atom_site_fract_z
Ca1 Ca 0.0000 0.0000 0.0000
Mn1 Mn 0.5000 0.5000 0.5000
Ru1 Ru 0.0000 0.0000 0.5000
```


*A* is favored, and the nearest alternative lies 1985 meV per atom above it.


*A*
VASP calculation (PBE) on CaMnRu after structural relaxation.

Values from the calculation:
theoretical density	5185	kg/m3
total magnetization	1.3	μB per formula unit

CIF file:
```
data_CaMnRu
_space_group_name_H-M_alt 'P 3 m 1'
_space_group_IT_number 156
_cell_length_a 3.9032
_cell_length_b 3.9032
_cell_length_c 4.7601
_cell_angle_alpha 90.00
_cell_angle_beta 90.00
_cell_angle_gamma 120.00
loop_
_space_group_symop_operation_xyz
'x,y,z'
'-y,x-y,z'
'-x+y,-x,z'
'-y,-x,z'
'-x+y,y,z'
'x,x-y,z'
loop_
_atom_site_label
_atom_site_type_symbol
_atom_site_fract_x
_atom_site_fract_y
_atom_site_fract_z
Ca1 Ca 0.0000 0.0000 0.0000
Mn1 Mn 0.6667 0.3333 0.4844
Ru1 Ru 0.3333 0.6667 0.5155
```


*B*
VASP calculation (PBE) on CaMnRu after structural relaxation.

Values from the calculation:
theoretical density	5611	kg/m3
total magnetization	3.8	μB per formula unit

CIF file:
```
data_CaMnRu
_space_group_name_H-M_alt 'P 3 m 1'
_space_group_IT_number 156
_cell_length_a 3.1453
_cell_length_b 3.1453
_cell_length_c 6.7728
_cell_angle_alpha 90.00
_cell_angle_beta 90.00
_cell_angle_gamma 120.00
loop_
_space_group_symop_operation_xyz
'x,y,z'
'-y,x-y,z'
'-x+y,-x,z'
'-y,-x,z'
'-x+y,y,z'
'x,x-y,z'
loop_
_atom_site_label
_atom_site_type_symbol
_atom_site_fract_x
_atom_site_fract_y
_atom_site_fract_z
Ca1 Ca 0.0000 0.0000 0.0000
Mn1 Mn 0.6667 0.3333 0.4071
Ru1 Ru 0.3333 0.6667 0.6609
```


*A* is favored, and the nearest alternative lies 275 meV per atom above it.